Density functional theory data (GGA-PBE) for a relaxed structure of Sc2GeBRh6.

Structure (CIF):
```
data_Sc2GeBRh6
_chemical_formula_sum 'Sc8 Ge4 B4 Rh24'
_cell_length_a 8.6359
_cell_length_b 8.6359
_cell_length_c 8.6359
_cell_angle_alpha 90.00
_cell_angle_beta 90.00
_cell_angle_gamma 90.00
_symmetry_space_group_name_H-M 'F m -3 m'
_symmetry_Int_Tables_number 225
_symmetry_space_group_name_Hall '-F 4 2 3'
loop_
_atom_site_label
_atom_site_fract_x
_atom_site_fract_y
_atom_site_fract_z
Sc1 0.2500 0.2500 0.2500
Ge1 0.0000 0.0000 0.0000
B1 0.0000 0.0000 0.5000
Rh1 0.0000 0.0000 0.2656
```

## Properties
Its formation energy is -0.50 eV per atom. As for the volume: 161.0 Å³/f.u. The total energy comes out at -7.304 eV/atom.

***

Density functional theory data (GGA-PBE) for a relaxed structure of Ga2FeReOs.

Structure (CIF):
```
data_Ga2FeReOs
_chemical_formula_sum 'Ga2 Fe1 Re1 Os1'
_cell_length_a 4.6417
_cell_length_b 4.6417
_cell_length_c 4.4728
_cell_angle_alpha 90.00
_cell_angle_beta 90.00
_cell_angle_gamma 90.00
_symmetry_space_group_name_H-M 'P 4/m m m'
_symmetry_Int_Tables_number 123
_symmetry_space_group_name_Hall '-P 4 2'
loop_
_atom_site_label
_atom_site_fract_x
_atom_site_fract_y
_atom_site_fract_z
Ga1 0.0000 0.5000 0.0000
Fe1 0.0000 0.0000 0.5000
Re1 0.5000 0.5000 0.5000
Os1 0.0000 0.0000 0.0000
```

## Properties
Its formation energy is 1.58 eV per atom. As for the volume: 96.4 Å³/f.u. The total energy comes out at -6.061 eV/atom.

***

What is the formula in the second record?
Ga2FeReOs